Entry 1:
# Ag2MoRh, relaxed, DFT PBE
data_Ag2MoRh
_chemical_formula_sum 'Ag2 Mo1 Rh1'
_cell_length_a 9.6264
_cell_length_b 9.6264
_cell_length_c 9.6264
_cell_angle_alpha 16.87
_cell_angle_beta 16.87
_cell_angle_gamma 16.87
_space_group_name_H-M_alt 'P 1'
_space_group_IT_number 1
loop_
_space_group_symop_operation_xyz
'x,y,z'
loop_
_atom_site_label
_atom_site_fract_x
_atom_site_fract_y
_atom_site_fract_z
Ag1 0.0026 0.0026 0.0026
Ag2 0.2483 0.2483 0.2483
Mo1 0.4940 0.4940 0.4940
Rh1 0.7551 0.7551 0.7551
# Energy relative to the lowest polymorph listed for this composition (eV per atom): 0.000
# Calculated formation energy (eV/f.u.): 0.47
# Symmetry: R3m (160)

---

Entry 2:
# LiDyGe2O6, relaxed, DFT PBE
data_LiDyGe2O6
_chemical_formula_sum 'Li2 Dy2 Ge4 O12'
_cell_length_a 5.7114
_cell_length_b 7.0800
_cell_length_c 7.0800
_cell_angle_alpha 86.70
_cell_angle_beta 75.53
_cell_angle_gamma 75.53
_space_group_name_H-M_alt 'P 1'
_space_group_IT_number 1
loop_
_space_group_symop_operation_xyz
'x,y,z'
loop_
_atom_site_label
_atom_site_fract_x
_atom_site_fract_y
_atom_site_fract_z
Ge1 0.7129 0.2202 0.3878
Ge2 0.7871 0.6122 0.7798
Ge3 0.2129 0.3878 0.2202
Ge4 0.2871 0.7798 0.6122
O1 0.8380 0.0404 0.1989
O2 0.8938 0.3776 0.8611
O3 0.6620 0.8011 0.9596
O4 0.5289 0.5988 0.6829
O5 0.3380 0.1989 0.0404
O6 0.6062 0.1389 0.6224
O7 0.1062 0.6224 0.1389
O8 0.9711 0.3171 0.4012
O9 0.0289 0.6829 0.5988
O10 0.3938 0.8611 0.3776
O11 0.1620 0.9596 0.8011
O12 0.4711 0.4012 0.3171
Li1 0.7500 0.7702 0.2298
Li2 0.2500 0.2298 0.7702
Dy1 0.7500 0.1143 0.8857
Dy2 0.2500 0.8857 0.1143
# Formation energy from raw total energies (eV/atom): -2.25
# Symmetry: C2/c (15)

---

Entry 3:
# Y2ScRe, relaxed, DFT PBE
data_Y2ScRe
_chemical_formula_sum 'Y2 Sc1 Re1'
_cell_length_a 4.7661
_cell_length_b 4.7661
_cell_length_c 4.0813
_cell_angle_alpha 90.00
_cell_angle_beta 90.00
_cell_angle_gamma 90.12
_space_group_name_H-M_alt 'P 1'
_space_group_IT_number 1
loop_
_space_group_symop_operation_xyz
'x,y,z'
loop_
_atom_site_label
_atom_site_fract_x
_atom_site_fract_y
_atom_site_fract_z
Sc1 0.0000 0.5000 0.5000
Re1 0.5000 0.0000 0.5000
Y1 0.0000 0.0000 0.0000
Y2 0.5000 0.5000 0.0000
# Energy relative to the lowest polymorph listed for this composition (eV per atom): 0.188
# Calculated formation energy (eV/f.u.): 1.17
# Symmetry: Cmmm (65)

---

Entry 4:
# TlWBr2, relaxed, DFT PBE
data_TlWBr2
_chemical_formula_sum 'Tl1 W1 Br2'
_cell_length_a 11.5943
_cell_length_b 11.5943
_cell_length_c 11.5943
_cell_angle_alpha 16.39
_cell_angle_beta 16.39
_cell_angle_gamma 16.39
_space_group_name_H-M_alt 'P 1'
_space_group_IT_number 1
loop_
_space_group_symop_operation_xyz
'x,y,z'
loop_
_atom_site_label
_atom_site_fract_x
_atom_site_fract_y
_atom_site_fract_z
Br1 0.1133 0.1133 0.1133
Br2 0.8867 0.8867 0.8867
W1 0.5000 0.5000 0.5000
Tl1 0.0000 0.0000 0.0000
# Formation energy from raw total energies (eV/atom): 0.29
# Energy relative to the lowest polymorph listed for this composition (eV per atom): 0.035
# Symmetry: R-3m (166)

---

We obtain total DFT energy (no corrections) values of -5.853; -6.801; -7.635; -4.381 eV/atom for the records listed above, in that order.